The following is a DFT calculation (PBE) of crystalline Lu2TiPt at its relaxed geometry.

Lattice parameters (Å, degrees): 3.4388 3.4388 7.2439 90.00 90.00 90.00
Last column: nearest neighbours and their distance in Å.
Space group P4/mmm (No. 123)
Unique sites:
Lu1 0.0000 0.0000 0.2280 [2 per cell]  4 Pt 2.94, 4 Ti 3.13
Ti1 0.5000 0.5000 0.5000 [1 per cell]  8 Lu 3.13, 4 Ti 3.44
Pt1 0.5000 0.5000 0.0000 [1 per cell]  8 Lu 2.94

Calculated values
ΔE_f, eV per atom: -0.55

=====

The following is a DFT calculation (PBE) of crystalline CeDy5Er6 at its relaxed geometry.

Lattice parameters (Å, degrees): 4.9865 9.9466 14.9642 90.00 90.00 90.00
Last column: nearest neighbours and their distance in Å.
Space group Immm (No. 71)
Unique sites:
Ce1 0.0000 0.0000 0.0000 [2 per cell]  8 Er 3.51, 4 Dy 3.53
Dy1 0.0000 0.0000 0.3330 [4 per cell]  4 Dy 3.52-3.53, 8 Er 3.53-3.54
Dy2 0.0000 0.5000 0.0000 [2 per cell]  8 Er 3.51-3.53, 4 Dy 3.53
Dy3 0.0000 0.5000 0.3333 [4 per cell]  8 Er 3.51-3.54, 2 Dy 3.52, 2 Ce 3.53
Er1 0.0000 0.2494 0.1656 [8 per cell]  1 Ce 3.51, 7 Dy 3.51-3.54, 4 Er 3.52-3.55
Er2 0.0000 0.2518 0.5000 [4 per cell]  2 Ce 3.51, 6 Dy 3.51-3.54, 4 Er 3.52

Calculated values
ΔE_f, eV per atom: 0.04

=====

The following is a DFT calculation (PBE) of crystalline Hf3BiPt at its relaxed geometry.

Lattice parameters (Å, degrees): 5.0922 5.0922 5.0922 90.00 90.00 90.00
Last column: nearest neighbours and their distance in Å.
Space group Pm-3m (No. 221)
Unique sites:
Hf1 0.0000 0.0000 0.5000 [3 per cell]  2 Pt 2.55
Bi1 0.5000 0.5000 0.5000 [1 per cell]  12 Hf 3.60
Pt1 0.0000 0.0000 0.0000 [1 per cell]  6 Hf 2.55

Calculated values
Excess energy over the best structure of this formula in the dataset, kJ/mol of atoms: 0.0
ΔE_f, eV per atom: -0.01

=====

The following is a DFT calculation (PBE) of crystalline AgTeOs at its relaxed geometry.

Lattice parameters (Å, degrees): 3.1687 3.1687 12.4376 90.00 90.00 90.00
Last column: nearest neighbours and their distance in Å.
Space group I4mm (No. 107)
Unique sites:
Ag1 0.0000 0.0000 0.0000 [2 per cell]  4 Os 2.93, 4 Ag 3.17
Te1 0.0000 0.0000 0.2684 [2 per cell]  4 Os 2.67
Os1 0.0000 0.0000 0.6516 [2 per cell]  4 Te 2.67, 4 Ag 2.93

Calculated values
Excess energy over the best structure of this formula in the dataset, kJ/mol of atoms: 13.6
Energy relative to the elements, uncorrected, eV/atom: 0.562

=====

| no. | N(E_F) (states/eV/cell) | M_tot (μB/f.u.) |
| --- | --- | --- |
| 1 | 4.6 | 0.0 |
| 2 | 36.8 | 1.1 |
| 3 | 3.9 | 0.0 |
| 4 | 2.7 | 0.0 |